VASP calculation (PBE) on a geometry-optimized GdTm2Pa structure.

The value obtained for the offset from the most stable computed form is 110 meV per atom. The formation enthalpy at 0 K is 0.313 eV per atom.

It has space group R-3m (No. 166, hexagonal axes), with a = 5.5093 Å, b = 5.5093 Å, c = 13.5130 Å, α = 90.00°, β = 90.00° and γ = 120.00°. The distinct sites, in fractional coordinates, are Gd at (0.0000, 0.0000, 0.0000), Tm at (0.0000, 0.0000, 0.2515) and Pa at (0.0000, 0.0000, 0.5000).